(1)
K2NpAu2S4 (PBE, relaxed); E_form (uncorrected) = -0.860 eV per atom
1.0
7.485 -2.035 0.000
7.485 2.035 0.000
-2.709 0.000 7.246
K Np Au S
2 1 2 4
direct
0.133 0.133 0.075
0.867 0.867 0.925
0.000 0.000 0.500
0.322 0.322 0.493
0.678 0.678 0.507
0.191 0.191 0.707
0.487 0.487 0.732
0.513 0.513 0.268
0.809 0.809 0.293

=====

(2)
TbPr6Y2 (PBE, relaxed); formation energy from the elements = 0.07 eV per atom; ΔE to the lowest computed polymorph = 0.0 meV per atom
1.0
5.102 -9.186 0.000
5.102 9.186 0.000
-1.642 0.000 6.731
Tb Pr Y
2 12 4
direct
0.025 0.975 0.750
0.975 0.025 0.250
0.019 0.306 0.670
0.041 0.645 0.829
0.299 0.342 0.116
0.306 0.019 0.170
0.342 0.299 0.616
0.355 0.959 0.671
0.645 0.041 0.329
0.658 0.701 0.384
0.694 0.981 0.830
0.701 0.658 0.884
0.959 0.355 0.171
0.981 0.694 0.330
0.314 0.626 0.491
0.374 0.686 0.009
0.626 0.314 0.991
0.686 0.374 0.509

=====

(3)
Li2PrPd4Pb (PBE, relaxed); formation energy from the elements = -0.47 eV per atom
1.0
2.316 1.337 7.970
-2.316 1.337 7.970
0.000 -2.674 7.970
Li Pr Pd Pb
2 1 4 1
direct
0.242 0.242 0.242
0.758 0.758 0.758
0.000 0.000 0.000
0.123 0.123 0.123
0.386 0.386 0.386
0.614 0.614 0.614
0.877 0.877 0.877
0.500 0.500 0.500

=====

(4)
SrZrTl2 (PBE, relaxed); formation energy from the elements = 0.11 eV per atom
1.0
3.658 0.000 0.000
0.000 5.072 0.000
0.000 0.000 6.400
Sr Zr Tl
1 1 2
direct
0.000 0.000 0.000
0.500 0.500 0.612
0.000 0.000 0.516
0.500 0.500 0.146

=====

(5)
CsRb2Te6 (PBE, relaxed); ΔE to the lowest computed polymorph = 40.6 meV per atom; E_form (uncorrected) = -0.552 eV per atom
1.0
-2.196 5.672 7.931
2.196 -5.672 7.931
2.196 5.672 -7.931
Cs Rb Te
1 2 6
direct
0.000 0.000 0.000
0.359 0.859 0.500
0.641 0.141 0.500
0.053 0.322 0.730
0.297 0.500 0.797
0.408 0.678 0.730
0.592 0.322 0.270
0.703 0.500 0.203
0.947 0.678 0.270

=====

(6)
ErPuSc2 (PBE, relaxed); formation energy from the elements = 0.27 eV per atom; ΔE to the lowest computed polymorph = 178.9 meV per atom
1.0
3.277 0.000 0.000
-1.638 2.838 0.000
0.000 0.000 34.743
Er Pu Sc
3 3 6
direct
0.000 0.000 0.000
0.333 0.667 0.667
0.667 0.333 0.333
0.000 0.000 0.500
0.333 0.667 0.167
0.667 0.333 0.833
0.000 0.000 0.412
0.000 0.000 0.588
0.333 0.667 0.078
0.333 0.667 0.255
0.667 0.333 0.745
0.667 0.333 0.922

=====

(7)
TiInAg (PBE, relaxed); formation energy from the elements = -0.02 eV per atom
1.0
3.068 0.000 0.000
0.000 18.589 0.000
0.000 0.000 4.072
Ti In Ag
4 4 4
direct
0.000 0.214 0.250
0.000 0.786 0.750
0.500 0.286 0.750
0.500 0.714 0.250
0.000 0.373 0.250
0.000 0.627 0.750
0.500 0.127 0.750
0.500 0.873 0.250
0.000 0.051 0.250
0.000 0.949 0.750
0.500 0.449 0.750
0.500 0.551 0.250

=====

(8)
CaAl3Zn2 (PBE, relaxed); formation energy from the elements = -0.18 eV per atom; ΔE to the lowest computed polymorph = 0.0 meV per atom
1.0
5.556 0.000 0.000
-2.778 4.812 0.000
0.000 0.000 4.294
Ca Al Zn
1 3 2
direct
0.000 0.000 0.000
0.000 0.500 0.500
0.500 0.000 0.500
0.500 0.500 0.500
0.333 0.667 0.000
0.667 0.333 0.000

=====

(9)
Ba2YPb2 (PBE, relaxed); formation energy from the elements = 0.13 eV per atom; ΔE to the lowest computed polymorph = 579.2 meV per atom
1.0
4.406 0.000 0.000
0.000 4.406 0.000
0.000 0.000 23.307
Ba Y Pb
4 2 4
direct
0.000 0.000 0.117
0.000 0.000 0.883
0.500 0.500 0.383
0.500 0.500 0.617
0.000 0.000 0.500
0.500 0.500 0.000
0.000 0.500 0.250
0.000 0.500 0.750
0.500 0.000 0.250
0.500 0.000 0.750

=====

(10)
CuReRu2 (PBE, relaxed); formation energy from the elements = 0.22 eV per atom; ΔE to the lowest computed polymorph = 94.1 meV per atom
1.0
9.023 0.000 0.000
0.000 2.718 0.000
-0.819 0.000 4.538
Cu Re Ru
2 2 4
direct
0.000 0.000 0.000
0.500 0.500 0.000
0.246 0.000 0.734
0.746 0.500 0.734
0.255 0.500 0.235
0.495 0.000 0.504
0.755 0.000 0.235
0.995 0.500 0.504